(1)
DFT (PBE) results for a geometry-optimized Pr3NdHo12 structure.

Results
Raw total energy   -73.66 eV for the cell shown
M_tot   0.0 μB per formula unit
Energy of formation from the pure elements   0.024 eV/atom

Lattice parameters (Å, degrees): 5.0463 5.0463 20.1984 90.00 90.00 90.00
With the nearest neighbours (Å) after each atom.
Space group P4/mmm (No. 123)
Unique sites:
Pr: 0.0000 0.0000 0.0000 (multiplicity 1)  12 Ho 3.57
Pr: 0.0000 0.0000 0.2502 (multiplicity 2)  12 Ho 3.57
Nd: 0.0000 0.0000 0.5000 (multiplicity 1)  12 Ho 3.56-3.57
Ho: 0.0000 0.5000 0.1252 (multiplicity 4)  8 Ho 3.57, 4 Pr 3.57
Ho: 0.0000 0.5000 0.3755 (multiplicity 4)  8 Ho 3.56-3.57, 2 Nd 3.56, 2 Pr 3.57
Ho: 0.5000 0.5000 0.0000 (multiplicity 1)  4 Pr 3.57, 8 Ho 3.57
Ho: 0.5000 0.5000 0.2504 (multiplicity 2)  4 Pr 3.57, 8 Ho 3.57
Ho: 0.5000 0.5000 0.5000 (multiplicity 1)  8 Ho 3.56, 4 Nd 3.57

---

(2)
DFT (PBE) results for a geometry-optimized NaLi2Bi3 structure.

Results
Raw total energy   -18.92 eV for the cell shown
M_tot   0.0 μB per formula unit
Energy of formation from the pure elements   -0.355 eV/atom

Lattice parameters (Å, degrees): 3.4029 3.4029 13.2731 90.00 90.00 90.00
With the nearest neighbours (Å) after each atom.
Space group P4/mmm (No. 123)
Unique sites:
Na: 0.0000 0.0000 0.0000 (multiplicity 1)  4 Na 3.40, 8 Bi 3.47
Li: 0.0000 0.0000 0.3422 (multiplicity 2)  8 Bi 3.16-3.19, 4 Li 3.40
Bi: 0.5000 0.5000 0.1881 (multiplicity 2)  4 Li 3.16, 4 Bi 3.40, 4 Na 3.47
Bi: 0.5000 0.5000 0.5000 (multiplicity 1)  8 Li 3.19, 4 Bi 3.40

---

(3)
DFT (PBE) results for a geometry-optimized AcLuSc2 structure.

Results
Raw total energy   -20.81 eV for the cell shown
M_tot   0.0 μB per formula unit
Polymorph energy (0 for the lowest one)   27 meV per atom
Energy of formation from the pure elements   0.120 eV/atom

Lattice parameters (Å, degrees): 5.1755 5.1755 4.4791 90.00 90.00 90.00
With the nearest neighbours (Å) after each atom.
Space group P4/mmm (No. 123)
Unique sites:
Ac: 0.0000 0.0000 0.0000 (multiplicity 1)  8 Sc 3.42, 4 Lu 3.66
Lu: 0.5000 0.5000 0.0000 (multiplicity 1)  8 Sc 3.42, 4 Ac 3.66
Sc: 0.0000 0.5000 0.5000 (multiplicity 2)  4 Ac 3.42, 4 Lu 3.42, 4 Sc 3.66

---

(4)
DFT (PBE) results for a geometry-optimized YZn4Cu8 structure.

Results
Raw total energy   -91.99 eV for the cell shown
M_tot   0.0 μB per formula unit
Energy of formation from the pure elements   -0.128 eV/atom

Lattice parameters (Å, degrees): 8.6198 8.6198 4.9334 90.00 90.00 90.00
With the nearest neighbours (Å) after each atom.
Space group I4/mmm (No. 139)
Unique sites:
Y: 0.0000 0.0000 0.0000 (multiplicity 2)  12 Cu 3.07-3.11, 8 Zn 3.29
Zn: 0.2500 0.2500 0.2500 (multiplicity 8)  2 Zn 2.47, 8 Cu 2.50-2.64
Cu: 0.0000 0.2190 0.5000 (multiplicity 8)  4 Zn 2.50, 6 Cu 2.67-2.73
Cu: 0.0000 0.3558 0.0000 (multiplicity 8)  5 Cu 2.49-2.73, 4 Zn 2.64

---

(5)
DFT (PBE) results for a geometry-optimized Ti2SiF2 structure.

Results
Raw total energy   -67.58 eV for the cell shown
M_tot   0.0 μB per formula unit
Polymorph energy (0 for the lowest one)   0 meV per atom
Raw formation energy   -1767 meV/atom

Lattice parameters (Å, degrees): 3.3538 3.3538 11.1872 90.00 90.00 90.00
With the nearest neighbours (Å) after each atom.
Space group I4/mmm (No. 139)
Unique sites:
Ti: 0.0000 0.0000 0.1213 (multiplicity 4)  4 F 2.21
Si: 0.0000 0.0000 0.5000 (multiplicity 2)  8 Ti 2.73
F: 0.0000 0.5000 0.2500 (multiplicity 4)  4 Ti 2.21, 4 F 2.37

---

(6)
DFT (PBE) results for a geometry-optimized Pr2Dy6Y3Tm structure.

Results
Raw total energy   -121.61 eV for the cell shown
M_tot   0.0 μB per formula unit
Energy of formation from the pure elements   0.019 eV/atom

Lattice parameters (Å, degrees): 6.1909 10.7159 11.8513 90.00 99.98 90.00
With the nearest neighbours (Å) after each atom.
Space group C2/m (No. 12)
Unique sites:
Pr: 0.0000 0.1665 0.0000 (multiplicity 4)  3 Pr 3.57-3.58, 3 Tm 3.57, 6 Dy 3.59-3.60
Dy: 0.2473 0.5000 0.7480 (multiplicity 4)  3 Y 3.55-3.56, 6 Dy 3.56-3.58, 1 Tm 3.58, 2 Pr 3.60
Dy: 0.2495 0.1660 0.7482 (multiplicity 8)  3 Y 3.55-3.56, 6 Dy 3.56-3.58, 1 Tm 3.59, 2 Pr 3.59-3.60
Y: 0.0000 0.0000 0.5000 (multiplicity 2)  6 Dy 3.55-3.56, 6 Y 3.57-3.58
Y: 0.0000 0.3337 0.5000 (multiplicity 4)  6 Dy 3.55-3.56, 6 Y 3.57-3.58
Tm: 0.0000 0.5000 0.0000 (multiplicity 2)  6 Pr 3.57, 6 Dy 3.58-3.59

---

(7)
DFT (PBE) results for a geometry-optimized MgAsOs2 structure.

Results
Raw total energy   -27.79 eV for the cell shown
M_tot   0.0 μB per formula unit
Polymorph energy (0 for the lowest one)   95 meV per atom
Energy of formation from the pure elements   0.229 eV/atom

Lattice parameters (Å, degrees): 2.9203 4.2678 5.1067 90.00 106.37 90.00
With the nearest neighbours (Å) after each atom.
Space group Pm (No. 6)
Unique sites:
Mg: 0.0000 0.0000 0.0000 (multiplicity 1)  3 Os 2.53-2.78, 4 As 2.79-2.80
As: 0.3958 0.5000 0.7844 (multiplicity 1)  5 Os 2.50-2.77, 4 Mg 2.79-2.80
Os: 0.2628 0.0000 0.5170 (multiplicity 1)  2 As 2.50, 3 Mg 2.53-2.78, 4 Os 2.78-2.79
Os: 0.6564 0.5000 0.3052 (multiplicity 1)  3 As 2.55-2.77, 4 Os 2.78-2.79

---

(8)
DFT (PBE) results for a geometry-optimized LaHoThAl structure.

Results
Raw total energy   -82.79 eV for the cell shown
M_tot   0.0 μB per formula unit
Energy of formation from the pure elements   -0.007 eV/atom

Lattice parameters (Å, degrees): 7.7427 7.7427 7.7427 90.00 90.00 90.00
With the nearest neighbours (Å) after each atom.
Space group F-43m (No. 216)
Unique sites:
La: 0.0000 0.0000 0.0000 (multiplicity 4)  4 Ho 3.35, 4 Al 3.35
Ho: 0.2500 0.2500 0.2500 (multiplicity 4)  4 La 3.35, 4 Th 3.35
Th: 0.0000 0.0000 0.5000 (multiplicity 4)  4 Al 3.35, 4 Ho 3.35
Al: 0.2500 0.2500 0.7500 (multiplicity 4)  4 La 3.35, 4 Th 3.35